No. 1
! SrGa3Te (PBE, optimized geometry); values from VASP
! * M_tot: 0.00 μB per cell
! * space group: No. 221
! * excess energy over the best structure of this formula in the dataset: 513 meV per atom
! * total DFT energy (no corrections): -10.24 eV per cell
&SYSTEM
  ibrav = 0, nat = 5, ntyp = 3
/
ATOMIC_SPECIES
Sr 87.62 Sr.upf
Te 127.60 Te.upf
Ga 69.72 Ga.upf
CELL_PARAMETERS angstrom
-2.520 -2.201 -4.774
5.186 -1.910 -1.857
-0.862 -5.049 2.784
ATOMIC_POSITIONS crystal
Sr 0.000 0.000 0.000
Te 0.500 0.500 0.500
Ga 0.000 0.500 0.000
Ga 0.000 0.000 0.500
Ga 0.500 0.000 0.000



No. 2
! Sr2TlGaTe5 (PBE, optimized geometry); values from VASP
! * M_tot: 0.00 μB per cell
! * space group: No. 36
! * total DFT energy (no corrections): -64.03 eV per cell
&SYSTEM
  ibrav = 0, nat = 18, ntyp = 4
/
ATOMIC_SPECIES
Sr 87.62 Sr.upf
Tl 204.38 Tl.upf
Ga 69.72 Ga.upf
Te 127.60 Te.upf
CELL_PARAMETERS angstrom
4.400 0.000 0.000
-2.200 10.542 0.000
0.000 0.000 13.282
ATOMIC_POSITIONS crystal
Sr 0.883 0.766 0.796
Sr 0.110 0.219 0.675
Sr 0.117 0.234 0.296
Sr 0.890 0.781 0.175
Tl 0.770 0.539 0.525
Tl 0.230 0.461 0.025
Ga 0.567 0.134 0.947
Ga 0.433 0.866 0.447
Te 0.367 0.734 0.989
Te 0.685 0.370 0.870
Te 0.504 0.009 0.775
Te 0.275 0.550 0.687
Te 0.956 0.913 0.559
Te 0.633 0.266 0.489
Te 0.315 0.630 0.370
Te 0.496 0.991 0.275
Te 0.725 0.450 0.187
Te 0.044 0.087 0.059



No. 3
! Sr2TmGaTe5 (PBE, optimized geometry); values from VASP
! * M_tot: 0.00 μB per cell
! * space group: No. 36
! * total DFT energy (no corrections): -75.44 eV per cell
&SYSTEM
  ibrav = 0, nat = 18, ntyp = 4
/
ATOMIC_SPECIES
Sr 87.62 Sr.upf
Tm 168.93 Tm.upf
Ga 69.72 Ga.upf
Te 127.60 Te.upf
CELL_PARAMETERS angstrom
-1.371 -3.398 2.397
8.482 2.950 5.037
-7.553 8.506 7.738
ATOMIC_POSITIONS crystal
Sr 0.875 0.751 0.822
Sr 0.120 0.241 0.682
Sr 0.125 0.249 0.322
Sr 0.880 0.759 0.182
Tm 0.794 0.588 0.524
Tm 0.206 0.412 0.024
Ga 0.561 0.123 0.934
Ga 0.439 0.877 0.434
Te 0.354 0.708 0.004
Te 0.688 0.376 0.866
Te 0.499 0.999 0.768
Te 0.292 0.585 0.675
Te 0.952 0.905 0.549
Te 0.646 0.292 0.504
Te 0.312 0.624 0.366
Te 0.501 0.001 0.268
Te 0.708 0.415 0.175
Te 0.048 0.095 0.049



No. 4
! SrThGa2 (PBE, optimized geometry); values from VASP
! * calculated formation energy: -370.2 meV per atom
! * M_tot: 0.00 μB per cell
! * space group: No. 123
! * total DFT energy (no corrections): -16.64 eV per cell
&SYSTEM
  ibrav = 0, nat = 4, ntyp = 3
/
ATOMIC_SPECIES
Sr 87.62 Sr.upf
Ga 69.72 Ga.upf
Th 232.04 Th.upf
CELL_PARAMETERS angstrom
-0.924 -1.671 -2.988
-0.362 -3.030 1.807
-8.182 1.865 1.488
ATOMIC_POSITIONS crystal
Sr 0.500 0.500 0.500
Ga 0.000 0.000 0.761
Ga 0.000 0.000 0.239
Th 0.500 0.500 0.000



No. 5
! Sr2TiGa (PBE, optimized geometry); values from VASP
! * calculated formation energy: 517.3 meV per atom
! * M_tot: 5.91 μB per cell
! * space group: No. 122
! * total DFT energy (no corrections): -24.43 eV per cell
&SYSTEM
  ibrav = 0, nat = 8, ntyp = 3
/
ATOMIC_SPECIES
Sr 87.62 Sr.upf
Ga 69.72 Ga.upf
Ti 47.87 Ti.upf
CELL_PARAMETERS angstrom
8.967 0.000 0.000
0.000 8.967 0.000
4.483 4.483 3.194
ATOMIC_POSITIONS crystal
Sr 0.657 0.125 0.250
Sr 0.093 0.625 0.250
Sr 0.375 0.343 0.750
Sr 0.875 0.907 0.750
Ga 0.000 0.000 0.000
Ga 0.750 0.250 0.500
Ti 0.500 0.500 0.000
Ti 0.250 0.750 0.500



No. 6
! Sr3TiGa (PBE, optimized geometry); values from VASP
! * calculated formation energy: 519.2 meV per atom
! * M_tot: 2.91 μB per cell
! * space group: No. 221
! * excess energy over the best structure of this formula in the dataset: 0 meV per atom
! * total DFT energy (no corrections): -13.37 eV per cell
&SYSTEM
  ibrav = 0, nat = 5, ntyp = 3
/
ATOMIC_SPECIES
Sr 87.62 Sr.upf
Ga 69.72 Ga.upf
Ti 47.87 Ti.upf
CELL_PARAMETERS angstrom
6.078 0.000 0.000
0.000 6.078 0.000
0.000 0.000 6.078
ATOMIC_POSITIONS crystal
Sr 0.000 0.500 0.000
Sr 0.000 0.000 0.500
Sr 0.500 0.000 0.000
Ga 0.000 0.000 0.000
Ti 0.500 0.500 0.500